# 1
4
Lattice="0.000 2.837 2.837 2.837 0.000 2.837 2.837 2.837 0.000" Properties=species:S:1:pos:R:3 comment="BeHgC2, relaxed, DFT PBE" formation_energy_mev_per_atom=2476 de_polymorph_mev_per_atom=911 space_group="Fm-3m, No. 225" pbc="T T T"
Be 0.000 0.000 0.000
C 1.418 1.418 1.418
C 4.255 4.255 4.255
Hg 2.837 2.837 2.837

---

# 2
15
Lattice="-2.799 8.087 2.090 -4.542 -4.882 -5.756 0.050 -2.196 8.563" Properties=species:S:1:pos:R:3 comment="LiPm3Np3Te8, relaxed, DFT PBE" e_form_raw_ev_per_atom=-1.01 space_group="R-3m, No. 166" pbc="T T T"
Np -3.645 0.505 2.449
Np -2.246 -3.539 1.404
Np -1.374 2.946 5.327
Pm -3.671 1.602 -1.833
Pm -2.271 -2.441 -2.878
Pm 0.000 0.000 0.000
Te -2.978 -0.982 -0.187
Te -5.188 -4.488 1.164
Te -2.103 5.498 3.733
Te -4.375 3.066 0.860
Te -2.916 -2.057 4.038
Te -6.579 -0.451 2.211
Te -0.711 1.461 2.686
Te -4.313 1.991 5.084
Li 0.025 -1.098 4.282

---

Values of DOS at the Fermi energy, in order: 2.29, 36.71, all in states/eV/f.u..
Values of calculated density, in order: 8498, 7428, all in kg/m3.